1.
DFT (GGA-PBE) results for MnTlIn2 after structural relaxation.

Values from the calculation:
E = -0.145 hartree per atom
spin magnetization = 0.955 μB/atom
energy relative to the lowest polymorph listed for this composition = 134 meV per atom
ΔE_f = 0.302 eV per atom

Cell lengths 5.7415, 5.7415, 5.7415 Å; angles 134.94, 134.94, 65.62 degrees
Last column: nearest neighbours and their distance in Å.
Atoms (fractional coordinates):
In 0.5000 0.5000 0.0000  4 In 3.11, 4 Tl 3.27, 4 Mn 3.27
In 0.0000 0.0000 0.0000  4 In 3.11, 4 Mn 3.27, 4 Tl 3.27
Tl 0.7500 0.2500 0.5000  4 Mn 3.11, 8 In 3.27
Mn 0.2500 0.7500 0.5000  4 Tl 3.11, 8 In 3.27

2.
DFT (GGA-PBE) results for MnTlInW2 after structural relaxation.

Values from the calculation:
E = -0.176 hartree per atom
spin magnetization = 0.084 μB/atom
ΔE_f = 3.253 eV per atom

Cell lengths 5.0493, 5.0850, 5.0493 Å; angles 90.00, 90.00, 90.00 degrees
Last column: nearest neighbours and their distance in Å.
Atoms (fractional coordinates):
Tl 0.0000 0.0000 0.0000  4 W 2.52, 2 In 2.54
In 0.0000 0.5000 0.0000  2 Tl 2.54
Mn 0.5000 0.5000 0.5000  4 In 3.57, 8 W 3.58
W 0.0000 0.0000 0.5000  2 Tl 2.52
W 0.5000 0.0000 0.0000  2 Tl 2.52

3.
DFT (GGA-PBE) results for Zr2MnTlIn after structural relaxation.

Values from the calculation:
E = -0.219 hartree per atom
spin magnetization = 0.163 μB/atom
ΔE_f = 0.325 eV per atom

Cell lengths 4.8050, 5.0731, 4.8050 Å; angles 90.00, 90.00, 90.00 degrees
Last column: nearest neighbours and their distance in Å.
Atoms (fractional coordinates):
Zr 0.0000 0.0000 0.5000  2 Mn 2.40
Zr 0.5000 0.0000 0.0000  2 Mn 2.40
Mn 0.0000 0.0000 0.0000  4 Zr 2.40, 2 Tl 2.54
Tl 0.0000 0.5000 0.0000  2 Mn 2.54
In 0.5000 0.5000 0.5000  4 Tl 3.40, 8 Zr 3.49